1.
## TlAg124 (PBE)

Data for a relaxed TlAg124 crystal.

## Properties
The theoretical density is 10366 kg/m3. As for the total DFT energy (no corrections): -2.8155 eV per atom.

a = 20.5685 Å, b = 20.5685 Å, c = 20.5685 Å
α = 90.00°, β = 90.00°, γ = 90.00°
Last column: nearest neighbours and their distance in Å.
Space group Fm-3m (No. 225)
Symmetry-distinct sites (fractional):
Tl (0.0000, 0.0000, 0.0000) [4 per cell]  12 Ag 2.96
Ag (0.0000, 0.0000, 0.2004) [24 per cell]  12 Ag 2.91-2.92
Ag (0.0000, 0.0000, 0.4000) [24 per cell]  12 Ag 2.91
Ag (0.0000, 0.1001, 0.3001) [96 per cell]  12 Ag 2.90-2.91
Ag (0.0000, 0.1017, 0.1017) [48 per cell]  11 Ag 2.87-2.96, 1 Tl 2.96
Ag (0.0000, 0.2005, 0.2005) [48 per cell]  12 Ag 2.87-2.92
Ag (0.1002, 0.1002, 0.2005) [96 per cell]  12 Ag 2.89-2.92
Ag (0.1000, 0.1000, 0.4000) [32 per cell]  12 Ag 2.91
Ag (0.1001, 0.2000, 0.3000) [96 per cell]  12 Ag 2.90-2.91
Ag (0.2001, 0.2001, 0.2001) [32 per cell]  12 Ag 2.90-2.91



2.
## TlAg9 (PBE)

Data for a relaxed TlAg9 crystal.

## Properties
The theoretical density is 8798 kg/m3. As for the total DFT energy (no corrections): -2.7356 eV per atom.

a = 2.9559 Å, b = 2.9559 Å, c = 50.7732 Å
α = 90.00°, β = 90.00°, γ = 90.00°
Last column: nearest neighbours and their distance in Å.
Space group P4/nmm (No. 129, origin choice 2)
Symmetry-distinct sites (fractional):
Tl (0.2500, 0.2500, 0.1115) [2 per cell]  4 Tl 2.96, 4 Ag 3.30
Ag (0.2500, 0.2500, 0.2023) [2 per cell]  12 Ag 2.92-2.96
Ag (0.2500, 0.2500, 0.2823) [2 per cell]  12 Ag 2.91-2.96
Ag (0.2500, 0.2500, 0.3619) [2 per cell]  12 Ag 2.90-2.96
Ag (0.2500, 0.2500, 0.4409) [2 per cell]  12 Ag 2.89-2.96
Ag (0.2500, 0.2500, 0.5197) [2 per cell]  12 Ag 2.89-2.96
Ag (0.2500, 0.2500, 0.5986) [2 per cell]  12 Ag 2.90-2.96
Ag (0.2500, 0.2500, 0.6779) [2 per cell]  12 Ag 2.91-2.96
Ag (0.2500, 0.2500, 0.7577) [2 per cell]  12 Ag 2.91-2.96
Ag (0.2500, 0.2500, 0.8381) [2 per cell]  8 Ag 2.93-2.96



3.
## TmTlAg (PBE)

Data for a relaxed TmTlAg crystal.

## Properties
The theoretical density is 10277 kg/m3. As for the total DFT energy (no corrections): -3.3734 eV per atom.

a = 6.7752 Å, b = 6.7752 Å, c = 6.7752 Å
α = 90.00°, β = 90.00°, γ = 90.00°
Last column: nearest neighbours and their distance in Å.
Space group F-43m (No. 216)
Symmetry-distinct sites (fractional):
Tm (0.0000, 0.0000, 0.0000) [4 per cell]  4 Ag 2.93
Tl (0.0000, 0.0000, 0.5000) [4 per cell]  4 Ag 2.93
Ag (0.2500, 0.2500, 0.7500) [4 per cell]  4 Tl 2.93, 4 Tm 2.93



4.
## TmTlAg (PBE)

Data for a relaxed TmTlAg crystal.

## Properties
The theoretical density is 9664 kg/m3. As for the total DFT energy (no corrections): -3.0596 eV per atom.

a = 6.9154 Å, b = 6.9154 Å, c = 6.9154 Å
α = 90.00°, β = 90.00°, γ = 90.00°
Last column: nearest neighbours and their distance in Å.
Space group F-43m (No. 216)
Symmetry-distinct sites (fractional):
Tm (0.0000, 0.0000, 0.0000) [4 per cell]  4 Tl 2.99, 4 Ag 2.99
Tl (0.2500, 0.2500, 0.2500) [4 per cell]  4 Tm 2.99
Ag (0.2500, 0.2500, 0.7500) [4 per cell]  4 Tm 2.99



5.
## Tl2AgW (PBE)

Data for a relaxed Tl2AgW crystal.

## Properties
The theoretical density is 13224 kg/m3. As for the total DFT energy (no corrections): -3.9632 eV per atom.

a = 7.0596 Å, b = 7.0596 Å, c = 7.0596 Å
α = 90.00°, β = 90.00°, γ = 90.00°
Last column: nearest neighbours and their distance in Å.
Space group F-43m (No. 216)
Symmetry-distinct sites (fractional):
Tl (0.0000, 0.0000, 0.0000) [4 per cell]  4 Tl 3.06, 4 Ag 3.06
Tl (0.2500, 0.2500, 0.2500) [4 per cell]  4 Tl 3.06, 4 W 3.06
Ag (0.2500, 0.2500, 0.7500) [4 per cell]  4 Tl 3.06, 4 W 3.06
W (0.0000, 0.0000, 0.5000) [4 per cell]  4 Ag 3.06, 4 Tl 3.06



6.
## TlAgW2 (PBE)

Data for a relaxed TlAgW2 crystal.

## Properties
The theoretical density is 15640 kg/m3. As for the total DFT energy (no corrections): -6.7858 eV per atom.

a = 6.6096 Å, b = 6.6096 Å, c = 6.6096 Å
α = 90.00°, β = 90.00°, γ = 90.00°
Last column: nearest neighbours and their distance in Å.
Space group F-43m (No. 216)
Symmetry-distinct sites (fractional):
Tl (0.0000, 0.0000, 0.0000) [4 per cell]  4 Ag 2.86, 4 W 2.86
Ag (0.2500, 0.2500, 0.2500) [4 per cell]  4 W 2.86, 4 Tl 2.86
W (0.0000, 0.0000, 0.5000) [4 per cell]  4 W 2.86, 4 Ag 2.86
W (0.2500, 0.2500, 0.7500) [4 per cell]  4 Tl 2.86, 4 W 2.86



7.
## TlAgW (PBE)

Data for a relaxed TlAgW crystal.

## Properties
The theoretical density is 12135 kg/m3. As for the total DFT energy (no corrections): -4.5889 eV per atom.

a = 6.4756 Å, b = 6.4756 Å, c = 6.4756 Å
α = 90.00°, β = 90.00°, γ = 90.00°
Last column: nearest neighbours and their distance in Å.
Space group F-43m (No. 216)
Symmetry-distinct sites (fractional):
Tl (0.0000, 0.0000, 0.0000) [4 per cell]  4 W 2.80
Ag (0.0000, 0.0000, 0.5000) [4 per cell]  4 W 2.80
W (0.2500, 0.2500, 0.7500) [4 per cell]  4 Tl 2.80, 4 Ag 2.80



8.
## Y2TlAg (PBE)

Data for a relaxed Y2TlAg crystal.

## Properties
The theoretical density is 7920 kg/m3. As for the total DFT energy (no corrections): -4.8942 eV per atom.

a = 3.6733 Å, b = 3.6733 Å, c = 7.6150 Å
α = 90.00°, β = 90.00°, γ = 90.00°
Last column: nearest neighbours and their distance in Å.
Space group P4/mmm (No. 123)
Symmetry-distinct sites (fractional):
Y (0.0000, 0.0000, 0.2352) [2 per cell]  4 Ag 3.16, 4 Tl 3.29
Tl (0.5000, 0.5000, 0.5000) [1 per cell]  8 Y 3.29, 4 Tl 3.67
Ag (0.5000, 0.5000, 0.0000) [1 per cell]  8 Y 3.16



9.
## Y2TlAg2 (PBE)

Data for a relaxed Y2TlAg2 crystal.

## Properties
The theoretical density is 7876 kg/m3. As for the total DFT energy (no corrections): -4.0851 eV per atom.

a = 4.3649 Å, b = 4.3649 Å, c = 13.2342 Å
α = 90.00°, β = 90.00°, γ = 90.00°
Last column: nearest neighbours and their distance in Å.
Space group I4/mmm (No. 139)
Symmetry-distinct sites (fractional):
Y (0.0000, 0.0000, 0.1096) [4 per cell]  4 Ag 2.87, 1 Y 2.90
Tl (0.0000, 0.0000, 0.5000) [2 per cell]  8 Y 3.41
Ag (0.0000, 0.5000, 0.2500) [4 per cell]  4 Y 2.87, 4 Ag 3.09



10.
## Y2TlAg (PBE)

Data for a relaxed Y2TlAg crystal.

## Properties
The theoretical density is 7914 kg/m3. As for the total DFT energy (no corrections): -4.9062 eV per atom.

a = 5.2605 Å, b = 5.2605 Å, c = 7.4316 Å
α = 90.00°, β = 90.00°, γ = 90.00°
Last column: nearest neighbours and their distance in Å.
Space group I4/mmm (No. 139)
Symmetry-distinct sites (fractional):
Y (0.0000, 0.5000, 0.2500) [4 per cell]  4 Tl 3.22, 4 Ag 3.22
Tl (0.0000, 0.0000, 0.0000) [2 per cell]  8 Y 3.22
Ag (0.0000, 0.0000, 0.5000) [2 per cell]  8 Y 3.22



11.
## YTlAg2 (PBE)

Data for a relaxed YTlAg2 crystal.

## Properties
The theoretical density is 9589 kg/m3. As for the total DFT energy (no corrections): -3.8371 eV per atom.

a = 7.0646 Å, b = 7.0646 Å, c = 7.0646 Å
α = 90.00°, β = 90.00°, γ = 90.00°
Last column: nearest neighbours and their distance in Å.
Space group F-43m (No. 216)
Symmetry-distinct sites (fractional):
Y (0.0000, 0.0000, 0.0000) [4 per cell]  4 Ag 3.06, 4 Tl 3.06
Tl (0.2500, 0.2500, 0.7500) [4 per cell]  4 Y 3.06, 4 Ag 3.06
Ag (0.0000, 0.0000, 0.5000) [4 per cell]  4 Tl 3.06, 4 Ag 3.06
Ag (0.2500, 0.2500, 0.2500) [4 per cell]  4 Y 3.06, 4 Ag 3.06



12.
## YTl2Ag (PBE)

Data for a relaxed YTl2Ag crystal.

## Properties
The theoretical density is 10241 kg/m3. As for the total DFT energy (no corrections): -3.6252 eV per atom.

a = 7.3233 Å, b = 7.3233 Å, c = 7.3233 Å
α = 90.00°, β = 90.00°, γ = 90.00°
Last column: nearest neighbours and their distance in Å.
Space group F-43m (No. 216)
Symmetry-distinct sites (fractional):
Y (0.0000, 0.0000, 0.0000) [4 per cell]  4 Tl 3.17, 4 Ag 3.17
Tl (0.0000, 0.0000, 0.5000) [4 per cell]  4 Tl 3.17, 4 Ag 3.17
Tl (0.2500, 0.2500, 0.2500) [4 per cell]  4 Tl 3.17, 4 Y 3.17
Ag (0.2500, 0.2500, 0.7500) [4 per cell]  4 Tl 3.17, 4 Y 3.17